[1]
The following is a DFT calculation (PBE) of a relaxed Pm2TiP2N6 crystal.

Cell: 6.1915 6.1915 6.1915 Å, 52.50 52.50 52.50°
Positions (direct):
Pm (0.2182, 0.2182, 0.2182)
Pm (0.7818, 0.7818, 0.7818)
Ti (0.0000, 0.0000, 0.0000)
P (0.4350, 0.4350, 0.4350)
P (0.5650, 0.5650, 0.5650)
N (0.2474, 0.2474, 0.7485)
N (0.2474, 0.7485, 0.2474)
N (0.2515, 0.7526, 0.7526)
N (0.7485, 0.2474, 0.2474)
N (0.7526, 0.2515, 0.7526)
N (0.7526, 0.7526, 0.2515)

Output
Energy relative to the elements, uncorrected = -1.0301 eV/atom
Magnetization = 0.00 μB/f.u.
Raw total energy = -8.136 eV/atom
SG = R-3m (166)
Density = 5.8 Mg/m³

---

[2]
The following is a DFT calculation (PBE) of a relaxed Ce4Ga3Rh crystal.

Cell: 4.1577 4.3512 10.7010 Å, 90.00 90.00 90.00°
Positions (direct):
Ce (0.0000, 0.0000, 0.0000)
Ce (0.0000, 0.5000, 0.4773)
Ce (0.5000, 0.0000, 0.6978)
Ce (0.5000, 0.5000, 0.2029)
Ga (0.0000, 0.5000, 0.7709)
Ga (0.5000, 0.0000, 0.4075)
Ga (0.5000, 0.5000, 0.9188)
Rh (0.0000, 0.0000, 0.2479)

Output
Magnetization = 3.04 μB/f.u.
Raw total energy = -5.551 eV/atom
Calculated formation energy = -0.5297 eV/atom
SG = Pmm2 (25)
Density = 7.5 Mg/m³
DOS(E_F) = 19.589 states/eV per cell

---

[3]
The following is a DFT calculation (PBE) of a relaxed AlCr crystal.

Cell: 4.4429 4.4429 4.9936 Å, 90.00 90.00 120.00°
Positions (direct):
Al (0.3333, 0.6667, 0.2500)
Al (0.6667, 0.3333, 0.7500)
Cr (0.3333, 0.6667, 0.7500)
Cr (0.6667, 0.3333, 0.2500)

Output
Magnetization = 3.01 μB/f.u.
Raw total energy = -5.592 eV/atom
Calculated formation energy = 1.0905 eV/atom
SG = P6_3/mmc (194)
Density = 3.1 Mg/m³
DOS(E_F) = 3.373 states/eV per cell

---

[4]
The following is a DFT calculation (PBE) of a relaxed Ta2RhBr crystal.

Cell: 6.5833 6.5833 6.5833 Å, 90.00 90.00 90.00°
Positions (direct):
Ta (0.0000, 0.0000, 0.0000)
Ta (0.0000, 0.5000, 0.5000)
Ta (0.2500, 0.2500, 0.2500)
Ta (0.2500, 0.7500, 0.7500)
Ta (0.5000, 0.0000, 0.5000)
Ta (0.5000, 0.5000, 0.0000)
Ta (0.7500, 0.2500, 0.7500)
Ta (0.7500, 0.7500, 0.2500)
Rh (0.0000, 0.0000, 0.5000)
Rh (0.0000, 0.5000, 0.0000)
Rh (0.5000, 0.0000, 0.0000)
Rh (0.5000, 0.5000, 0.5000)
Br (0.2500, 0.2500, 0.7500)
Br (0.2500, 0.7500, 0.2500)
Br (0.7500, 0.2500, 0.2500)
Br (0.7500, 0.7500, 0.7500)

Output
Energy relative to the elements, uncorrected = 0.7605 eV/atom
Magnetization = 0.00 μB/f.u.
Raw total energy = -7.422 eV/atom
SG = F-43m (216)
E above lowest polymorph = 0.7441 eV/atom
Density = 12.7 Mg/m³
DOS(E_F) = 9.161 states/eV per cell

---

[5]
The following is a DFT calculation (PBE) of a relaxed BaHfN2F crystal.

Cell: 4.2757 4.2757 4.3500 Å, 90.00 90.00 90.00°
Positions (direct):
Ba (0.0000, 0.0000, 0.0000)
Hf (0.5000, 0.5000, 0.5000)
N (0.0000, 0.5000, 0.5000)
N (0.5000, 0.0000, 0.5000)
F (0.5000, 0.5000, 0.0000)

Output
Energy relative to the elements, uncorrected = -1.6780 eV/atom
Magnetization = 0.23 μB/f.u.
Raw total energy = -7.758 eV/atom
SG = P4/mmm (123)
E above lowest polymorph = 0.0000 eV/atom
Density = 7.6 Mg/m³
DOS(E_F) = 2.792 states/eV per cell

---

[6]
The following is a DFT calculation (PBE) of a relaxed TiZn3S crystal.

Cell: 5.0174 5.0174 5.0174 Å, 90.00 90.00 90.00°
Positions (direct):
Ti (0.0000, 0.0000, 0.0000)
Zn (0.0000, 0.0000, 0.5000)
Zn (0.0000, 0.5000, 0.0000)
Zn (0.5000, 0.0000, 0.0000)
S (0.5000, 0.5000, 0.5000)

Output
Energy relative to the elements, uncorrected = 1.0024 eV/atom
Magnetization = 0.00 μB/f.u.
Raw total energy = -2.166 eV/atom
SG = Pm-3m (221)
E above lowest polymorph = 0.3111 eV/atom
Density = 3.6 Mg/m³
DOS(E_F) = 3.480 states/eV per cell

---

[7]
The following is a DFT calculation (PBE) of a relaxed Tb4PrNi4 crystal.

Cell: 8.6661 8.6661 5.6359 Å, 90.00 90.00 90.00°
Positions (direct):
Tb (0.0710, 0.6596, 0.1547)
Tb (0.1596, 0.9290, 0.6547)
Tb (0.3404, 0.5710, 0.6547)
Tb (0.4290, 0.8404, 0.1547)
Tb (0.5710, 0.1596, 0.8453)
Tb (0.6596, 0.4290, 0.3453)
Tb (0.8404, 0.0710, 0.3453)
Tb (0.9290, 0.3404, 0.8453)
Pr (0.2500, 0.2500, 0.2500)
Pr (0.7500, 0.7500, 0.7500)
Ni (0.0328, 0.6131, 0.6412)
Ni (0.1131, 0.9672, 0.1412)
Ni (0.3869, 0.5328, 0.1412)
Ni (0.4672, 0.8869, 0.6412)
Ni (0.5328, 0.1131, 0.3588)
Ni (0.6131, 0.4672, 0.8588)
Ni (0.8869, 0.0328, 0.8588)
Ni (0.9672, 0.3869, 0.3588)

Output
Magnetization = 0.00 μB/f.u.
Raw total energy = -5.395 eV/atom
Calculated formation energy = -0.2371 eV/atom
SG = P4_2/n (86)
Density = 7.9 Mg/m³
DOS(E_F) = 16.312 states/eV per cell

---

[8]
The following is a DFT calculation (PBE) of a relaxed SnC3O crystal.

Cell: 4.3116 4.3116 4.3116 Å, 90.00 90.00 90.00°
Positions (direct):
Sn (0.0000, 0.0000, 0.0000)
C (0.0000, 0.0000, 0.5000)
C (0.0000, 0.5000, 0.0000)
C (0.5000, 0.0000, 0.0000)
O (0.5000, 0.5000, 0.5000)

Output
Energy relative to the elements, uncorrected = 3.5785 eV/atom
Magnetization = 0.97 μB/f.u.
Raw total energy = -3.748 eV/atom
SG = Pm-3m (221)
E above lowest polymorph = 0.7837 eV/atom
Density = 3.5 Mg/m³
DOS(E_F) = 8.714 states/eV per cell

---

Q: The highest density belongs to which entry?
A: Ta2RhBr

---

Q: The highest magnetization belongs to which entry?
A: Ce4Ga3Rh